No. 1
Compound: LaPrIn
Source: the Open Quantum Materials Database
Functional: PBE
Structure: optimized geometry

Summary:
- final energy (eV/atom) = -4.2861
- ΔE to the lowest computed polymorph (meV/atom) = 0
- theoretical density (g cm⁻³) = 5.91
- crystal system = cubic

The structure in POSCAR format:
```
LaPrIn
1.0
7.6251 0.0000 0.0000
0.0000 7.6251 0.0000
0.0000 0.0000 7.6251
La Pr In
4 4 4
Cartesian
0.0000 0.0000 0.0000
0.0000 3.8126 3.8126
3.8126 0.0000 3.8126
3.8126 3.8126 0.0000
0.0000 0.0000 3.8126
0.0000 3.8126 0.0000
3.8126 0.0000 0.0000
3.8126 3.8126 3.8126
1.9063 1.9063 1.9063
1.9063 5.7189 5.7189
5.7189 1.9063 5.7189
5.7189 5.7189 1.9063
```

No. 2
Compound: LaPrIn2Pt4
Source: the Open Quantum Materials Database
Functional: PBE
Structure: optimized geometry

Summary:
- final energy (eV/atom) = -5.8382
- theoretical density (g cm⁻³) = 12.13
- crystal system = hexagonal

The structure in POSCAR format:
```
LaPrIn2Pt4
1.0
4.6603 0.0000 0.0000
-2.3301 4.0359 0.0000
0.0000 0.0000 9.3856
La Pr In Pt
1 1 2 4
Cartesian
0.0000 0.0000 0.0000
2.3301 1.3453 4.6928
0.0000 2.6906 2.3701
0.0000 2.6906 7.0156
0.0000 0.0000 3.1639
0.0000 0.0000 6.2217
2.3301 1.3453 1.5451
2.3301 1.3453 7.8405
```

No. 3
Compound: LaPrZn2In2
Source: the Open Quantum Materials Database
Functional: PBE
Structure: optimized geometry

Summary:
- final energy (eV/atom) = -3.4354
- theoretical density (g cm⁻³) = 6.95
- crystal system = trigonal

The structure in POSCAR format:
```
LaPrZn2In2
1.0
4.7817 0.0000 0.0000
-2.3909 4.1411 0.0000
0.0000 0.0000 7.7205
La Pr Zn In
1 1 2 2
Cartesian
0.0000 0.0000 0.0000
0.0000 0.0000 3.8636
0.0000 2.7607 1.5554
2.3909 1.3804 5.3820
0.0000 2.7607 5.9668
2.3909 1.3804 2.1467
```

No. 4
Compound: LaInPt4
Source: the Open Quantum Materials Database
Functional: PBE
Structure: optimized geometry

Summary:
- final energy (eV/atom) = -6.1490
- theoretical density (g cm⁻³) = 14.87
- crystal system = cubic

The structure in POSCAR format:
```
LaInPt4
1.0
0.0000 3.8654 3.8654
3.8654 0.0000 3.8654
3.8654 3.8654 0.0000
La In Pt
1 1 4
Cartesian
0.0000 0.0000 0.0000
5.7981 5.7981 5.7981
2.9043 2.9043 2.9043
4.8266 4.8266 2.9043
4.8266 2.9043 4.8266
2.9043 4.8266 4.8266
```

No. 5
Compound: La2In8Pt
Source: the Open Quantum Materials Database
Functional: PBE
Structure: optimized geometry

Summary:
- final energy (eV/atom) = -3.9307
- theoretical density (g cm⁻³) = 8.16
- crystal system = tetragonal

The structure in POSCAR format:
```
La2In8Pt
1.0
4.7763 0.0000 0.0000
0.0000 4.7763 0.0000
0.0000 0.0000 12.4057
La In Pt
2 8 1
Cartesian
0.0000 0.0000 2.3859
0.0000 0.0000 10.0198
0.0000 2.3881 0.0000
0.0000 2.3881 4.6824
0.0000 2.3881 7.7233
2.3881 0.0000 0.0000
2.3881 0.0000 4.6824
2.3881 0.0000 7.7233
2.3881 2.3881 2.3858
2.3881 2.3881 10.0199
0.0000 0.0000 6.2029
```

No. 6
Compound: La3InPt8
Source: the Open Quantum Materials Database
Functional: PBE
Structure: optimized geometry

Summary:
- final energy (eV/atom) = -6.4680
- theoretical density (g cm⁻³) = 14.60
- crystal system = trigonal

The structure in POSCAR format:
```
La3InPt8
1.0
2.7638 1.5957 8.9928
-2.7638 1.5957 8.9928
0.0000 -3.1914 8.9928
La In Pt
3 1 8
Cartesian
0.0000 0.0000 0.0000
0.0000 0.0000 3.4636
0.0000 0.0000 13.8176
0.0000 0.0000 17.1988
0.0000 -1.5847 6.2920
-1.3724 0.7924 6.2920
-1.3778 -0.7955 10.8083
0.0000 0.0000 8.5380
1.3724 0.7924 6.2920
1.3778 -0.7955 10.8083
0.0000 1.5910 10.8083
0.0000 0.0000 22.0351
```

No. 7
Compound: SrLaIn4Pt2
Source: the Open Quantum Materials Database
Functional: PBE
Structure: optimized geometry

Summary:
- final energy (eV/atom) = -4.4226
- theoretical density (g cm⁻³) = 9.25
- crystal system = orthorhombic

The structure in POSCAR format:
```
SrLaIn4Pt2
1.0
7.9626 0.0000 0.0000
0.0000 4.5354 0.0000
0.0000 0.0000 10.6991
Sr La In Pt
2 2 8 4
Cartesian
0.0000 0.0000 0.0000
0.0000 2.2677 5.3496
3.9813 0.0000 1.4429
3.9813 2.2677 6.7925
1.5692 0.0000 7.6221
1.5692 2.2677 2.2726
2.4028 0.0000 4.5257
2.4028 2.2677 9.8752
5.5598 0.0000 4.5257
5.5598 2.2677 9.8752
6.3933 0.0000 7.6221
6.3933 2.2677 2.2726
0.0000 0.0000 3.0458
0.0000 2.2677 8.3954
3.9813 0.0000 9.0890
3.9813 2.2677 3.7394
```

No. 8
Compound: LaTbIn2Pt4
Source: the Open Quantum Materials Database
Functional: PBE
Structure: optimized geometry

Summary:
- final energy (eV/atom) = -5.8499
- theoretical density (g cm⁻³) = 12.68
- crystal system = hexagonal

The structure in POSCAR format:
```
LaTbIn2Pt4
1.0
4.6328 0.0000 0.0000
-2.3164 4.0121 0.0000
0.0000 0.0000 9.2162
La Tb In Pt
1 1 2 4
Cartesian
0.0000 0.0000 0.0000
2.3164 1.3374 4.6081
0.0000 2.6747 2.3836
0.0000 2.6747 6.8325
0.0000 0.0000 3.1832
0.0000 0.0000 6.0330
2.3164 1.3374 1.5649
2.3164 1.3374 7.6512
```

No. 9
Compound: LaScZn2In2
Source: the Open Quantum Materials Database
Functional: PBE
Structure: optimized geometry

Summary:
- final energy (eV/atom) = -3.6465
- theoretical density (g cm⁻³) = 6.52
- crystal system = trigonal

The structure in POSCAR format:
```
LaScZn2In2
1.0
4.6424 0.0000 0.0000
-2.3212 4.0204 0.0000
0.0000 0.0000 7.4304
La Sc Zn In
1 1 2 2
Cartesian
0.0000 0.0000 0.0000
0.0000 0.0000 3.7257
0.0000 2.6803 1.7021
2.3212 1.3401 5.0655
0.0000 2.6803 5.5571
2.3212 1.3401 2.2047
```

No. 10
Compound: LaSmIn2
Source: the Open Quantum Materials Database
Functional: PBE
Structure: optimized geometry

Summary:
- final energy (eV/atom) = -4.2849
- theoretical density (g cm⁻³) = 7.34
- crystal system = tetragonal

The structure in POSCAR format:
```
LaSmIn2
1.0
3.8820 0.0000 0.0000
0.0000 3.8820 0.0000
0.0000 0.0000 7.7851
La Sm In
1 1 2
Cartesian
0.0000 0.0000 0.0000
0.0000 0.0000 3.8925
1.9410 1.9410 2.0495
1.9410 1.9410 5.7356
```

No. 11
Compound: LaSmIn
Source: the Open Quantum Materials Database
Functional: PBE
Structure: optimized geometry

Summary:
- final energy (eV/atom) = -4.2518
- ΔE to the lowest computed polymorph (meV/atom) = 0
- theoretical density (g cm⁻³) = 6.23
- crystal system = cubic

The structure in POSCAR format:
```
LaSmIn
1.0
7.5539 0.0000 0.0000
0.0000 7.5539 0.0000
0.0000 0.0000 7.5539
La Sm In
4 4 4
Cartesian
0.0000 0.0000 0.0000
0.0000 3.7769 3.7769
3.7769 0.0000 3.7769
3.7769 3.7769 0.0000
0.0000 0.0000 3.7769
0.0000 3.7769 0.0000
3.7769 0.0000 0.0000
3.7769 3.7769 3.7769
1.8885 1.8885 1.8885
1.8885 5.6654 5.6654
5.6654 1.8885 5.6654
5.6654 5.6654 1.8885
```

No. 12
Compound: LaTaIn
Source: the Open Quantum Materials Database
Functional: PBE
Structure: optimized geometry

Summary:
- final energy (eV/atom) = -5.7839
- ΔE to the lowest computed polymorph (meV/atom) = 0
- theoretical density (g cm⁻³) = 8.33
- crystal system = cubic

The structure in POSCAR format:
```
LaTaIn
1.0
7.0235 0.0000 0.0000
0.0000 7.0235 0.0000
0.0000 0.0000 7.0235
La Ta In
4 4 4
Cartesian
0.0000 0.0000 0.0000
0.0000 3.5117 3.5117
3.5117 0.0000 3.5117
3.5117 3.5117 0.0000
0.0000 0.0000 3.5117
0.0000 3.5117 0.0000
3.5117 0.0000 0.0000
3.5117 3.5117 3.5117
1.7559 1.7559 1.7559
1.7559 5.2676 5.2676
5.2676 1.7559 5.2676
5.2676 5.2676 1.7559
```

No. 13
Compound: La2TbTl2Zn3In
Source: the Open Quantum Materials Database
Functional: PBE
Structure: optimized geometry

Summary:
- final energy (eV/atom) = -3.1898
- theoretical density (g cm⁻³) = 8.41
- crystal system = orthorhombic

The structure in POSCAR format:
```
La2TbTl2Zn3In
1.0
4.6545 0.0000 0.0000
0.0000 6.4673 3.7926
0.0000 -6.4673 3.7926
La Tb Tl Zn In
2 1 2 3 1
Cartesian
0.0000 -3.6748 3.7926
0.0000 3.6748 3.7926
0.0000 0.0000 2.6975
2.3273 -2.0695 2.1570
2.3273 2.0695 2.1570
2.3273 0.0000 0.1373
2.3273 -1.5450 5.0367
2.3273 1.5450 5.0367
0.0000 0.0000 5.8654
```

No. 14
Compound: La2TbTlZn3In2
Source: the Open Quantum Materials Database
Functional: PBE
Structure: optimized geometry

Summary:
- final energy (eV/atom) = -3.2564
- theoretical density (g cm⁻³) = 7.76
- crystal system = orthorhombic

The structure in POSCAR format:
```
La2TbTlZn3In2
1.0
4.6863 0.0000 0.0000
0.0000 6.4523 3.7748
0.0000 -6.4523 3.7748
La Tb Tl Zn In
2 1 1 3 2
Cartesian
0.0000 -3.6842 3.7748
0.0000 3.6842 3.7748
0.0000 0.0000 2.6935
0.0000 0.0000 5.8448
2.3431 0.0000 0.2417
2.3431 -1.6255 4.9808
2.3431 1.6255 4.9808
2.3431 -2.0704 2.1587
2.3431 2.0704 2.1587
```

No. 15
Compound: La4InTc
Source: the Open Quantum Materials Database
Functional: PBE
Structure: optimized geometry

Summary:
- final energy (eV/atom) = -5.6924
- theoretical density (g cm⁻³) = 6.76
- crystal system = monoclinic

The structure in POSCAR format:
```
La4InTc
1.0
4.5646 -6.7765 0.0000
4.5646 6.7765 0.0000
-2.0172 0.0000 6.1004
La In Tc
8 2 2
Cartesian
1.6415 4.5554 5.7966
1.3664 1.1021 3.7487
4.4620 4.5554 3.3540
2.3750 -1.1021 0.6985
4.7371 1.1021 5.4019
2.6501 -4.5554 2.7464
5.7457 -1.1021 2.3517
5.4706 -4.5554 0.3038
4.0603 1.6666 1.5251
3.0517 -1.6666 4.5753
4.0603 6.7461 1.5251
3.0517 -6.7461 4.5753
```

No. 16
Compound: LaZnInTe3
Source: the Open Quantum Materials Database
Functional: PBE
Structure: optimized geometry

Summary:
- final energy (eV/atom) = -3.8965
- ΔE to the lowest computed polymorph (meV/atom) = 1
- theoretical density (g cm⁻³) = 5.65
- crystal system = orthorhombic

The structure in POSCAR format:
```
LaZnInTe3
1.0
2.2293 -7.6731 0.0000
2.2293 7.6731 0.0000
0.0000 0.0000 12.0556
La Zn In Te
2 2 2 6
Cartesian
0.0000 0.0000 0.0000
0.0000 0.0000 6.0278
2.2293 0.5097 9.0417
2.2293 -0.5097 3.0139
2.2293 3.9440 3.0139
2.2293 -3.9440 9.0417
2.2293 6.5123 9.0417
2.2293 2.1487 6.9128
2.2293 2.1487 11.1707
2.2293 -2.1487 0.8849
2.2293 -2.1487 5.1429
2.2293 -6.5123 3.0139
```

No. 17
Compound: LaZnInTe3
Source: the Open Quantum Materials Database
Functional: PBE
Structure: optimized geometry

Summary:
- final energy (eV/atom) = -3.8389
- ΔE to the lowest computed polymorph (meV/atom) = 59
- theoretical density (g cm⁻³) = 6.05
- crystal system = orthorhombic

The structure in POSCAR format:
```
LaZnInTe3
1.0
9.1249 0.0000 0.0000
0.0000 4.6729 0.0000
0.0000 0.0000 18.0831
La Zn In Te
4 4 4 12
Cartesian
2.2396 1.1682 0.8339
2.3229 3.5047 9.8754
6.8020 1.1682 8.2076
6.8853 3.5047 17.2492
1.2434 1.1682 6.4894
3.3191 3.5047 15.5309
5.8059 1.1682 2.5522
7.8815 3.5047 11.5937
0.6664 1.1682 14.1075
3.8960 3.5047 5.0660
5.2289 1.1682 13.0171
8.4585 3.5047 3.9756
0.0252 1.1682 10.7516
1.1101 3.5047 17.0204
1.7590 1.1682 3.9234
2.8035 3.5047 12.9650
3.4523 1.1682 7.9789
4.5373 3.5047 1.7101
4.5876 1.1682 16.3730
5.6726 3.5047 10.1041
6.3214 1.1682 5.1181
7.3659 3.5047 14.1596
8.0148 1.1682 1.0626
9.0998 3.5047 7.3315
```

No. 18
Compound: LaZnInTe3
Source: the Open Quantum Materials Database
Functional: PBE
Structure: optimized geometry

Summary:
- final energy (eV/atom) = -3.8891
- ΔE to the lowest computed polymorph (meV/atom) = 9
- theoretical density (g cm⁻³) = 6.01
- crystal system = orthorhombic

The structure in POSCAR format:
```
LaZnInTe3
1.0
12.6627 0.0000 0.0000
0.0000 4.6072 0.0000
0.0000 0.0000 13.2994
La Zn In Te
4 4 4 12
Cartesian
0.2824 1.1518 2.4434
6.0489 3.4554 9.0931
6.6137 1.1518 4.2063
12.3803 3.4554 10.8560
3.0958 3.4554 3.9704
3.2355 1.1518 10.6201
9.4272 3.4554 2.6792
9.5669 1.1518 9.3289
2.2964 1.1518 6.5858
4.0350 3.4554 13.2355
8.6277 1.1518 0.0639
10.3663 3.4554 6.7136
0.5496 3.4554 4.7501
1.3282 1.1518 12.5014
2.7400 3.4554 9.2019
3.5914 1.1518 2.5522
5.0032 3.4554 5.8517
5.7817 1.1518 11.3998
6.8810 3.4554 1.8995
7.6595 1.1518 7.4476
9.0713 3.4554 10.7472
9.9227 1.1518 4.0975
11.3345 3.4554 0.7979
12.1131 1.1518 8.5492
```

No. 19
Compound: LaZnInTe3
Source: the Open Quantum Materials Database
Functional: PBE
Structure: optimized geometry

Summary:
- final energy (eV/atom) = -3.8707
- ΔE to the lowest computed polymorph (meV/atom) = 27
- theoretical density (g cm⁻³) = 5.46
- crystal system = monoclinic

The structure in POSCAR format:
```
LaZnInTe3
1.0
8.8849 0.0000 0.0000
0.0000 4.4835 0.0000
-2.9520 0.0000 10.7258
La Zn In Te
2 2 2 6
Cartesian
1.3673 1.1209 1.5138
4.5656 3.3626 9.2120
2.6111 3.3626 4.1918
3.3218 1.1209 6.5340
0.0294 3.3626 7.5641
5.9035 1.1209 3.1617
-2.0145 1.1209 9.0521
1.1386 1.1209 4.8263
3.6561 3.3626 1.7367
2.2768 1.1209 8.9891
4.7943 3.3626 5.8995
7.9474 3.3626 1.6738
```

No. 20
Compound: LaZnInTe3
Source: the Open Quantum Materials Database
Functional: PBE
Structure: optimized geometry

Summary:
- final energy (eV/atom) = -3.7551
- ΔE to the lowest computed polymorph (meV/atom) = 143
- theoretical density (g cm⁻³) = 5.69
- crystal system = monoclinic

The structure in POSCAR format:
```
LaZnInTe3
1.0
10.0861 -2.2722 0.0000
10.0861 2.2722 0.0000
-2.3053 0.0000 8.9364
La Zn In Te
2 2 2 6
Cartesian
3.2417 0.0000 0.8103
14.6253 0.0000 8.1261
7.5563 0.0000 6.9111
10.3106 0.0000 2.0252
1.2370 0.0000 5.1551
16.6300 0.0000 3.7813
0.0000 0.0000 0.0000
5.0526 0.0000 5.9367
6.3744 0.0000 1.3343
8.9335 0.0000 4.4682
11.4926 0.0000 7.6020
12.8144 0.0000 2.9996
```

No. 21
Compound: LaZnInTe3
Source: the Open Quantum Materials Database
Functional: PBE
Structure: optimized geometry

Summary:
- final energy (eV/atom) = -3.8763
- ΔE to the lowest computed polymorph (meV/atom) = 21
- theoretical density (g cm⁻³) = 5.51
- crystal system = orthorhombic

The structure in POSCAR format:
```
LaZnInTe3
1.0
15.4900 0.0000 0.0000
0.0000 4.4793 0.0000
0.0000 0.0000 12.1864
La Zn In Te
4 4 4 12
Cartesian
0.4009 1.1198 1.9918
7.3441 3.3595 8.0850
8.1459 1.1198 4.1014
15.0891 3.3595 10.1946
0.2815 3.3595 4.8699
7.4635 1.1198 10.9630
8.0265 3.3595 1.2233
15.2085 1.1198 7.3165
3.6863 1.1198 5.6579
4.0588 3.3595 11.7511
11.4313 1.1198 0.4353
11.8038 3.3595 6.5285
1.3280 3.3595 7.4088
1.6689 1.1198 11.2359
2.3611 3.3595 3.1794
5.3839 1.1198 9.2726
6.0761 3.3595 5.1428
6.4170 1.1198 1.3156
9.0730 3.3595 10.8707
9.4139 1.1198 7.0436
10.1061 3.3595 2.9138
13.1289 1.1198 9.0070
13.8211 3.3595 0.9504
14.1620 1.1198 4.7776
```